(1)
A plane-wave DFT calculation with SCAN was carried out for a PBEsol-optimized structure of SiHgOs2.

Calculated values
energy relative to the elements, uncorrected = 0.25 eV per atom
E above lowest polymorph = 0.00 kJ per mole of atoms
theoretical density = 16.813 g cm⁻³
magnetic moment = 0.00 Bohr magnetons per cell

The structure in CIF format:
```
data_SiHgOs2
_chemical_formula_sum 'Si3 Hg3 Os6'
_space_group_name_H-M_alt 'P 1'
_space_group_IT_number 1
_space_group_name_Hall 'P 1'
_cell_length_a 2.808
_cell_length_b 2.808
_cell_length_c 26.436
_cell_angle_alpha 90.00
_cell_angle_beta 90.00
_cell_angle_gamma 120.00
loop_
_atom_site_label
_atom_site_type_symbol
_atom_site_fract_x
_atom_site_fract_y
_atom_site_fract_z
_atom_site_occupancy
Si1 Si 0.000 0.000 0.000 1
Si2 Si 0.333 0.667 0.667 1
Si3 Si 0.667 0.333 0.333 1
Hg1 Hg 0.000 0.000 0.500 1
Hg2 Hg 0.333 0.667 0.167 1
Hg3 Hg 0.667 0.333 0.833 1
Os1 Os 0.000 0.000 0.264 1
Os2 Os 0.000 0.000 0.736 1
Os3 Os 0.333 0.667 0.403 1
Os4 Os 0.333 0.667 0.930 1
Os5 Os 0.667 0.333 0.070 1
Os6 Os 0.667 0.333 0.597 1
```

=====

(2)
A plane-wave DFT calculation with SCAN was carried out for a PBEsol-optimized structure of La2O3.

Calculated values
energy relative to the elements, uncorrected = -3.48 eV per atom
theoretical density = 4.847 g cm⁻³
magnetic moment = 0.00 Bohr magnetons per cell

The structure in CIF format:
```
data_La2O3
_chemical_formula_sum 'La2 O3'
_space_group_name_H-M_alt 'P 1'
_space_group_IT_number 1
_space_group_name_Hall 'P 1'
_cell_length_a 6.297
_cell_length_b 6.297
_cell_length_c 3.250
_cell_angle_alpha 90.00
_cell_angle_beta 90.00
_cell_angle_gamma 120.00
loop_
_atom_site_label
_atom_site_type_symbol
_atom_site_fract_x
_atom_site_fract_y
_atom_site_fract_z
_atom_site_occupancy
La1 La 0.333 0.667 0.000 1
La2 La 0.667 0.333 0.000 1
O1 O 0.000 0.500 0.500 1
O2 O 0.500 0.000 0.500 1
O3 O 0.500 0.500 0.500 1
```

=====

(3)
A plane-wave DFT calculation with SCAN was carried out for a PBEsol-optimized structure of SnTeBrN2.

Calculated values
energy relative to the elements, uncorrected = 1.99 eV per atom
theoretical density = 5.814 g cm⁻³
magnetic moment = 2.34 Bohr magnetons per cell

The structure in CIF format:
```
data_SnTeBrN2
_chemical_formula_sum 'Sn1 Te1 Br1 N2'
_space_group_name_H-M_alt 'P 1'
_space_group_IT_number 1
_space_group_name_Hall 'P 1'
_cell_length_a 4.271
_cell_length_b 4.271
_cell_length_c 5.545
_cell_angle_alpha 90.00
_cell_angle_beta 90.00
_cell_angle_gamma 90.00
loop_
_atom_site_label
_atom_site_type_symbol
_atom_site_fract_x
_atom_site_fract_y
_atom_site_fract_z
_atom_site_occupancy
Sn1 Sn 0.000 0.000 0.000 1
Te1 Te 0.500 0.500 0.000 1
Br1 Br 0.500 0.500 0.500 1
N1 N 0.000 0.500 0.500 1
N2 N 0.500 0.000 0.500 1
```

=====

(4)
A plane-wave DFT calculation with SCAN was carried out for a PBEsol-optimized structure of Co2HgH2.

Calculated values
E above lowest polymorph = 36.98 kJ per mole of atoms
theoretical density = 11.054 g cm⁻³
magnetic moment = 5.36 Bohr magnetons per cell

The structure in CIF format:
```
data_Co2HgH2
_chemical_formula_sum 'Co4 Hg2 H4'
_space_group_name_H-M_alt 'P 1'
_space_group_IT_number 1
_space_group_name_Hall 'P 1'
_cell_length_a 6.040
_cell_length_b 6.040
_cell_length_c 2.639
_cell_angle_alpha 90.00
_cell_angle_beta 90.00
_cell_angle_gamma 90.00
loop_
_atom_site_label
_atom_site_type_symbol
_atom_site_fract_x
_atom_site_fract_y
_atom_site_fract_z
_atom_site_occupancy
Co1 Co 0.128 0.372 0.000 1
Co2 Co 0.372 0.872 0.000 1
Co3 Co 0.628 0.128 0.000 1
Co4 Co 0.872 0.628 0.000 1
Hg1 Hg 0.000 0.000 0.500 1
Hg2 Hg 0.500 0.500 0.500 1
H1 H 0.087 0.587 0.500 1
H2 H 0.413 0.087 0.500 1
H3 H 0.587 0.913 0.500 1
H4 H 0.913 0.413 0.500 1
```

=====

(5)
A plane-wave DFT calculation with SCAN was carried out for a PBEsol-optimized structure of Be2CoCu.

Calculated values
calculated formation energy = -0.0605 eV per atom
theoretical density = 6.427 g cm⁻³
magnetic moment = 0.00 Bohr magnetons per cell

The structure in CIF format:
```
data_Be2CoCu
_chemical_formula_sum 'Be2 Co1 Cu1'
_space_group_name_H-M_alt 'P 1'
_space_group_IT_number 1
_space_group_name_Hall 'P 1'
_cell_length_a 2.629
_cell_length_b 2.629
_cell_length_c 5.251
_cell_angle_alpha 90.00
_cell_angle_beta 90.00
_cell_angle_gamma 90.00
loop_
_atom_site_label
_atom_site_type_symbol
_atom_site_fract_x
_atom_site_fract_y
_atom_site_fract_z
_atom_site_occupancy
Be1 Be 0.000 0.000 0.000 1
Be2 Be 0.500 0.500 0.233 1
Co1 Co 0.000 0.000 0.444 1
Cu1 Cu 0.500 0.500 0.751 1
```

=====

(6)
A plane-wave DFT calculation with SCAN was carried out for a PBEsol-optimized structure of MgInFeBi2.

Calculated values
calculated formation energy = 0.3427 eV per atom
theoretical density = 7.908 g cm⁻³
magnetic moment = 2.33 Bohr magnetons per cell

The structure in CIF format:
```
data_MgInFeBi2
_chemical_formula_sum 'Mg1 In1 Fe1 Bi2'
_space_group_name_H-M_alt 'P 1'
_space_group_IT_number 1
_space_group_name_Hall 'P 1'
_cell_length_a 5.077
_cell_length_b 5.077
_cell_length_c 4.993
_cell_angle_alpha 90.00
_cell_angle_beta 90.00
_cell_angle_gamma 90.00
loop_
_atom_site_label
_atom_site_type_symbol
_atom_site_fract_x
_atom_site_fract_y
_atom_site_fract_z
_atom_site_occupancy
Mg1 Mg 0.000 0.000 0.000 1
In1 In 0.500 0.500 0.000 1
Fe1 Fe 0.000 0.000 0.500 1
Bi1 Bi 0.000 0.500 0.500 1
Bi2 Bi 0.500 0.000 0.500 1
```